(1)
{
  "formula": "CeNd6Dy5",
  "functional": "PBE",
  "state": "optimized geometry",
  "formation_enthalpy_0k_ev_per_atom": 0.04,
  "volume_a3_per_atom": 33.33,
  "total_energy_ev_per_cell": -57.1,
  "cell": [[-2.563, 5.090, 7.667], [2.563, -5.090, 7.667], [2.563, 5.090, -7.667]],
  "species": ["Ce", "Nd", "Nd", "Nd", "Nd", "Nd", "Nd", "Dy", "Dy", "Dy", "Dy", "Dy"],
  "fractional_positions": [[0.000, 0.000, 0.000], [0.085, 0.835, 0.250], [0.248, 0.500, 0.748], [0.415, 0.165, 0.250], [0.585, 0.835, 0.750], [0.752, 0.500, 0.252], [0.915, 0.165, 0.750], [0.166, 0.666, 0.500], [0.332, 0.332, 0.000], [0.500, 0.000, 0.500], [0.668, 0.668, 0.000], [0.834, 0.334, 0.500]]
}

(2)
{
  "formula": "LaZnGa2",
  "functional": "PBE",
  "state": "optimized geometry",
  "formation_enthalpy_0k_ev_per_atom": -0.28,
  "volume_a3_per_atom": 23.52,
  "total_energy_ev_per_cell": -13.4,
  "cell": [[3.617, 0.000, 0.000], [0.000, 3.204, 4.058], [0.000, -3.204, 4.058]],
  "species": ["La", "Zn", "Ga", "Ga"],
  "fractional_positions": [[0.000, 0.000, 0.000], [0.500, 0.411, 0.411], [0.500, 0.511, 0.898], [0.500, 0.898, 0.511]]
}

(3)
{
  "formula": "LiSc4Si",
  "functional": "PBE",
  "state": "optimized geometry",
  "volume_a3_per_atom": 22.36,
  "raw_formation_energy_ev_per_atom": 0.378,
  "total_energy_ev_per_cell": -30.4,
  "cell": [[0.000, 4.063, 4.063], [4.063, 0.000, 4.063], [4.063, 4.063, 0.000]],
  "species": ["Li", "Sc", "Sc", "Sc", "Sc", "Si"],
  "fractional_positions": [[0.000, 0.000, 0.000], [0.128, 0.624, 0.624], [0.624, 0.128, 0.624], [0.624, 0.624, 0.128], [0.624, 0.624, 0.624], [0.250, 0.250, 0.250]]
}

(4)
{
  "formula": "NaSe2F",
  "functional": "PBE",
  "state": "optimized geometry",
  "volume_a3_per_atom": 19.37,
  "raw_formation_energy_ev_per_atom": -0.238,
  "relative_energy_mev_per_atom": 829.3,
  "total_energy_ev_per_cell": -11.1,
  "cell": [[1.558, 0.900, 9.212], [-1.558, 0.900, 9.212], [0.000, -1.799, 9.212]],
  "species": ["Na", "Se", "Se", "F"],
  "fractional_positions": [[0.000, 0.000, 0.000], [0.421, 0.421, 0.421], [0.579, 0.579, 0.579], [0.500, 0.500, 0.500]]
}

(5)
{
  "formula": "LaAuCl",
  "functional": "PBE",
  "state": "optimized geometry",
  "volume_a3_per_atom": 28.38,
  "raw_formation_energy_ev_per_atom": -1.403,
  "relative_energy_mev_per_atom": 0.0,
  "total_energy_ev_per_cell": -28.5,
  "cell": [[4.898, 0.000, 0.000], [0.000, 4.772, 0.000], [-1.133, 0.000, 7.286]],
  "species": ["La", "La", "Au", "Au", "Cl", "Cl"],
  "fractional_positions": [[0.196, 0.250, 0.244], [0.804, 0.750, 0.756], [0.346, 0.750, 0.016], [0.654, 0.250, 0.984], [0.244, 0.750, 0.503], [0.756, 0.250, 0.497]]
}

(6)
{
  "formula": "CeZnI",
  "functional": "PBE",
  "state": "optimized geometry",
  "volume_a3_per_atom": 33.51,
  "raw_formation_energy_ev_per_atom": -0.503,
  "total_energy_ev_per_cell": -20.5,
  "cell": [[2.527, -9.988, 0.000], [2.527, 9.988, 0.000], [0.000, 0.000, 3.982]],
  "species": ["Ce", "Ce", "Zn", "Zn", "I", "I"],
  "fractional_positions": [[0.052, 0.948, 0.750], [0.948, 0.052, 0.250], [0.462, 0.538, 0.750], [0.538, 0.462, 0.250], [0.171, 0.829, 0.250], [0.829, 0.171, 0.750]]
}

(7)
{
  "formula": "DyTmTc",
  "functional": "PBE",
  "state": "optimized geometry",
  "formation_enthalpy_0k_ev_per_atom": -0.08,
  "volume_a3_per_atom": 24.36,
  "relative_energy_mev_per_atom": 0.0,
  "total_energy_ev_per_cell": -19.7,
  "cell": [[-1.726, 1.726, 6.129], [1.726, -1.726, 6.129], [1.726, 1.726, -6.129]],
  "species": ["Dy", "Tm", "Tc"],
  "fractional_positions": [[0.000, 0.000, 0.000], [0.738, 0.738, 0.000], [0.367, 0.367, 0.000]]
}

(8)
{
  "formula": "Ba4RhI2",
  "functional": "PBE",
  "state": "optimized geometry",
  "volume_a3_per_atom": 45.66,
  "raw_formation_energy_ev_per_atom": -0.865,
  "relative_energy_mev_per_atom": 0.0,
  "total_energy_ev_per_cell": -24.2,
  "cell": [[9.559, -2.319, 0.000], [9.559, 2.319, 0.000], [-3.039, 0.000, 7.210]],
  "species": ["Ba", "Ba", "Ba", "Ba", "Rh", "I", "I"],
  "fractional_positions": [[0.098, 0.098, 0.257], [0.396, 0.396, 0.213], [0.604, 0.604, 0.787], [0.902, 0.902, 0.743], [0.500, 0.500, 0.000], [0.245, 0.245, 0.748], [0.755, 0.755, 0.252]]
}